An optimized crystal structure of Pr3GaCl2F. Source: the Open Quantum Materials Database, functional GGA-PBE.

Its space group is P4/mmm (123). The calculation puts the spin magnetization at 0.00 μB per formula unit. Its total energy is -34.9 eV for the cell shown.

a b c (Å): 5.709 5.709 5.848
angles (deg): 90.00 90.00 90.00
Fractional positions:
Pr1 0.000 0.500 0.000
Cl1 0.000 0.500 0.500
Pr2 0.500 0.500 0.500
Cl2 0.500 0.000 0.500
Ga1 0.500 0.500 0.000
Pr3 0.500 0.000 0.000
F1 0.000 0.000 0.000


An optimized crystal structure of BeAsOs2. Source: the Open Quantum Materials Database, functional GGA-PBE.

Its space group is F-43m (216). The calculation puts the spin magnetization at 0.01 μB per formula unit. Its total energy is -28.6 eV for the cell shown.

a b c (Å): 4.287 4.287 4.287
angles (deg): 60.00 60.00 60.00
Fractional positions:
Be1 0.250 0.250 0.250
Os1 0.000 0.000 0.000
As1 0.500 0.500 0.500
Os2 0.750 0.750 0.750


An optimized crystal structure of LiSnBPt. Source: the Open Quantum Materials Database, functional GGA-PBE.

Its space group is F-43m (216). The calculation puts the spin magnetization at 0.00 μB per formula unit. Its total energy is -17.6 eV for the cell shown. The energy above the most stable polymorph in this dataset comes out at 0 meV per atom.

a b c (Å): 4.349 4.349 4.349
angles (deg): 60.00 60.00 60.00
Fractional positions:
Li1 0.750 0.750 0.750
Sn1 0.000 0.000 0.000
Pt1 0.250 0.250 0.250
B1 0.500 0.500 0.500


An optimized crystal structure of Tb3SiBr3. Source: the Open Quantum Materials Database, functional GGA-PBE.

Its space group is I4_132 (214). The calculation puts the spin magnetization at 0.00 μB per formula unit. Its total energy is -136.2 eV for the cell shown.

a b c (Å): 10.073 10.073 10.073
angles (deg): 109.47 109.47 109.47
Fractional positions:
Tb1 0.738 0.976 0.488
Br1 0.750 0.255 0.745
Tb2 0.762 0.512 0.024
Br2 0.245 0.495 0.989
Br3 0.750 0.495 0.505
Br4 0.245 0.750 0.755
Tb3 0.512 0.524 0.262
Tb4 0.512 0.988 0.750
Br5 0.495 0.005 0.250
Br6 0.011 0.005 0.755
Br7 0.005 0.750 0.995
Br8 0.005 0.255 0.511
Si1 0.750 0.000 0.000
Tb5 0.250 0.738 0.262
Tb6 0.762 0.250 0.238
Tb7 0.524 0.762 0.012
Tb8 0.738 0.762 0.750
Si2 0.000 0.500 0.250
Tb9 0.988 0.250 0.012
Br9 0.255 0.245 0.250
Tb10 0.988 0.738 0.476
Tb11 0.976 0.988 0.238
Tb12 0.250 0.512 0.488
Br10 0.489 0.245 0.995
Br11 0.495 0.489 0.745
Si3 0.750 0.750 0.250
Br12 0.255 0.011 0.505
Si4 0.500 0.750 0.500